1.
Entry from OQMD: a geometry-optimized Al13Co4 structure (PBE).

Properties
* ΔE to the lowest computed polymorph: 0.0000 eV per atom

Lattice parameters (Å, degrees): 8.190 12.389 14.419 90.00 90.00 90.00
Positions (direct):
Al  0.500  0.995  0.010
Al  0.211  0.908  0.046
Al  0.789  0.908  0.046
Al  0.221  0.279  0.049
Al  0.779  0.279  0.049
Al  0.000  0.097  0.088
Al  0.280  0.484  0.093
Al  0.720  0.484  0.093
Al  0.278  0.705  0.098
Al  0.722  0.705  0.098
Al  0.000  0.594  0.124
Al  0.500  0.321  0.154
Al  0.500  0.865  0.158
Al  0.000  0.364  0.171
Al  0.000  0.824  0.174
Al  0.500  0.093  0.205
Al  0.222  0.205  0.231
Al  0.778  0.205  0.231
Al  0.220  0.985  0.236
Al  0.780  0.985  0.236
Al  0.500  0.598  0.243
Al  0.278  0.779  0.280
Al  0.722  0.779  0.280
Al  0.290  0.408  0.283
Al  0.710  0.408  0.283
Al  0.000  0.495  0.318
Al  0.000  0.696  0.336
Al  0.000  0.101  0.349
Al  0.500  0.090  0.390
Al  0.268  0.579  0.406
Al  0.732  0.579  0.406
Al  0.500  0.749  0.414
Al  0.251  0.250  0.414
Al  0.749  0.250  0.414
Al  0.270  0.920  0.423
Al  0.730  0.920  0.423
Al  0.500  0.410  0.439
Al  0.000  0.400  0.479
Al  0.000  0.804  0.491
Al  0.000  0.005  0.510
Al  0.289  0.092  0.546
Al  0.711  0.092  0.546
Al  0.279  0.721  0.549
Al  0.721  0.721  0.549
Al  0.500  0.903  0.588
Al  0.220  0.516  0.593
Al  0.780  0.516  0.593
Al  0.222  0.295  0.598
Al  0.778  0.295  0.598
Al  0.500  0.406  0.624
Al  0.000  0.679  0.654
Al  0.000  0.135  0.658
Al  0.500  0.636  0.671
Al  0.500  0.176  0.674
Al  0.000  0.907  0.705
Al  0.278  0.795  0.731
Al  0.722  0.795  0.731
Al  0.280  0.015  0.736
Al  0.720  0.015  0.736
Al  0.000  0.402  0.743
Al  0.222  0.221  0.780
Al  0.778  0.221  0.780
Al  0.210  0.592  0.783
Al  0.790  0.592  0.783
Al  0.500  0.505  0.818
Al  0.500  0.304  0.836
Al  0.500  0.899  0.849
Al  0.000  0.910  0.890
Al  0.232  0.421  0.906
Al  0.768  0.421  0.906
Al  0.000  0.251  0.914
Al  0.249  0.750  0.914
Al  0.751  0.750  0.914
Al  0.230  0.080  0.923
Al  0.770  0.080  0.923
Al  0.000  0.590  0.939
Al  0.500  0.600  0.979
Al  0.500  0.196  0.991
Co  0.500  0.799  0.005
Co  0.000  0.413  0.015
Co  0.000  0.769  0.017
Co  0.278  0.094  0.092
Co  0.722  0.094  0.092
Co  0.223  0.593  0.237
Co  0.777  0.593  0.237
Co  0.500  0.269  0.312
Co  0.500  0.913  0.313
Co  0.000  0.299  0.324
Co  0.000  0.896  0.331
Co  0.000  0.604  0.498
Co  0.000  0.201  0.505
Co  0.500  0.587  0.515
Co  0.500  0.231  0.517
Co  0.222  0.906  0.592
Co  0.778  0.906  0.592
Co  0.277  0.407  0.737
Co  0.723  0.407  0.737
Co  0.000  0.731  0.812
Co  0.000  0.087  0.813
Co  0.500  0.701  0.824
Co  0.500  0.104  0.831
Co  0.500  0.396  0.998

2.
Entry from OQMD: a geometry-optimized Al7Co5 structure (PBE).

Properties
* ΔE to the lowest computed polymorph: 0.1797 eV per atom

Lattice parameters (Å, degrees): 4.920 4.920 15.899 90.00 90.00 120.00
Last column: magnetic moment on the atom in μB.
Positions (direct):
Al  0.500  0.000  0.000  0.00
Al  0.000  0.500  0.000  0.00
Al  0.500  0.500  0.000  -0.01
Al  0.000  0.000  0.115  -0.01
Al  0.333  0.667  0.137  -0.02
Al  0.333  0.667  0.363  -0.02
Al  0.000  0.000  0.385  -0.01
Al  0.500  0.000  0.500  0.00
Al  0.000  0.500  0.500  0.00
Al  0.500  0.500  0.500  -0.01
Al  0.000  0.000  0.615  -0.01
Al  0.667  0.333  0.637  -0.02
Al  0.667  0.333  0.863  -0.02
Al  0.000  0.000  0.885  -0.01
Co  0.667  0.333  0.132  0.71
Co  0.158  0.317  0.250  1.38
Co  0.158  0.842  0.250  1.46
Co  0.683  0.842  0.250  1.17
Co  0.667  0.333  0.368  0.71
Co  0.333  0.667  0.632  0.71
Co  0.317  0.158  0.750  1.17
Co  0.842  0.158  0.750  1.46
Co  0.842  0.683  0.750  1.38
Co  0.333  0.667  0.868  0.71

3.
Entry from OQMD: a geometry-optimized Al7Co8 structure (PBE).

Properties
* ΔE to the lowest computed polymorph: 0.0691 eV per atom

Lattice parameters (Å, degrees): 8.742 8.742 4.793 90.00 90.00 90.00
Last column: magnetic moment on the atom in μB.
Positions (direct):
Al  0.000  0.000  0.000  -0.02
Al  0.393  0.393  0.000  -0.02
Al  0.607  0.607  0.000  -0.02
Al  0.696  0.304  0.250  -0.01
Al  0.304  0.696  0.250  -0.01
Al  0.196  0.196  0.250  -0.01
Al  0.804  0.804  0.250  -0.01
Al  0.893  0.107  0.500  -0.02
Al  0.500  0.500  0.500  -0.02
Al  0.107  0.893  0.500  -0.02
Al  0.196  0.196  0.750  -0.01
Al  0.804  0.804  0.750  -0.01
Al  0.696  0.304  0.750  -0.01
Al  0.304  0.696  0.750  -0.01
Co  0.738  0.055  0.000  0.84
Co  0.468  0.130  0.000  1.30
Co  0.945  0.262  0.000  0.81
Co  0.130  0.468  0.000  1.29
Co  0.870  0.532  0.000  1.29
Co  0.055  0.738  0.000  0.81
Co  0.532  0.870  0.000  1.30
Co  0.262  0.945  0.000  0.84
Co  0.630  0.032  0.500  1.28
Co  0.445  0.238  0.500  0.82
Co  0.968  0.370  0.500  1.30
Co  0.238  0.445  0.500  0.85
Co  0.762  0.555  0.500  0.85
Co  0.032  0.630  0.500  1.30
Co  0.555  0.762  0.500  0.82
Co  0.370  0.968  0.500  1.28

4.
Entry from OQMD: a geometry-optimized Al5Co structure (PBE).

Properties
* VASP energy: -4.398 eV/atom

Lattice parameters (Å, degrees): 5.106 6.411 11.847 90.00 90.00 90.00
Positions (direct):
Al  0.000  0.117  0.002
Al  0.500  0.732  0.012
Al  0.248  0.423  0.141
Al  0.752  0.423  0.141
Al  0.000  0.842  0.171
Al  0.500  0.765  0.242
Al  0.248  0.106  0.320
Al  0.752  0.106  0.320
Al  0.000  0.553  0.347
Al  0.500  0.721  0.458
Al  0.000  0.883  0.502
Al  0.500  0.268  0.512
Al  0.248  0.577  0.641
Al  0.752  0.577  0.641
Al  0.000  0.158  0.671
Al  0.500  0.235  0.742
Al  0.248  0.894  0.820
Al  0.752  0.894  0.820
Al  0.000  0.447  0.847
Al  0.500  0.279  0.958
Co  0.500  0.419  0.321
Co  0.000  0.263  0.478
Co  0.500  0.581  0.821
Co  0.000  0.737  0.978

5.
Entry from OQMD: a geometry-optimized Al2Co structure (PBE).

Properties
* VASP energy: -4.959 eV/atom

Lattice parameters (Å, degrees): 4.995 4.995 14.992 90.00 90.00 120.00
Last column: magnetic moment on the atom in μB.
Positions (direct):
Al  0.500  0.000  0.000  0.00
Al  0.000  0.500  0.000  0.00
Al  0.500  0.500  0.000  0.00
Al  0.000  0.000  0.098  0.00
Al  0.167  0.335  0.250  0.00
Al  0.167  0.833  0.250  0.00
Al  0.665  0.833  0.250  0.00
Al  0.000  0.000  0.402  0.00
Al  0.500  0.000  0.500  0.00
Al  0.000  0.500  0.500  0.00
Al  0.500  0.500  0.500  0.00
Al  0.000  0.000  0.598  0.00
Al  0.335  0.167  0.750  0.00
Al  0.833  0.167  0.750  0.00
Al  0.833  0.665  0.750  0.00
Al  0.000  0.000  0.902  0.00
Co  0.333  0.667  0.122  -0.05
Co  0.667  0.333  0.149  0.34
Co  0.667  0.333  0.351  0.31
Co  0.333  0.667  0.378  -0.05
Co  0.667  0.333  0.622  -0.05
Co  0.333  0.667  0.649  0.31
Co  0.333  0.667  0.851  0.34
Co  0.667  0.333  0.878  -0.05

6.
Entry from OQMD: a geometry-optimized Al13Co4 structure (PBE).

Properties
* ΔE to the lowest computed polymorph: 0.0492 eV per atom

Lattice parameters (Å, degrees): 8.751 8.751 7.686 115.50 115.50 27.28
Positions (direct):
Al  0.797  0.797  0.017
Al  0.084  0.084  0.103
Al  0.414  0.414  0.122
Al  0.592  0.592  0.314
Al  0.256  0.256  0.385
Al  0.873  0.873  0.408
Al  0.500  0.500  0.500
Al  0.127  0.127  0.592
Al  0.744  0.744  0.615
Al  0.408  0.408  0.686
Al  0.586  0.586  0.878
Al  0.916  0.916  0.897
Al  0.203  0.203  0.983
Co  0.706  0.706  0.197
Co  0.989  0.989  0.273
Co  0.011  0.011  0.727
Co  0.294  0.294  0.803

7.
Entry from OQMD: a geometry-optimized Al5Co structure (PBE).

Properties
* VASP energy: -4.410 eV/atom

Lattice parameters (Å, degrees): 4.835 4.835 8.581 90.00 90.00 116.01
Positions (direct):
Al  0.000  0.000  0.000
Al  0.343  0.657  0.074
Al  0.357  0.154  0.250
Al  0.846  0.643  0.250
Al  0.343  0.657  0.426
Al  0.000  0.000  0.500
Al  0.657  0.343  0.574
Al  0.154  0.357  0.750
Al  0.643  0.846  0.750
Al  0.657  0.343  0.926
Co  0.850  0.150  0.250
Co  0.150  0.850  0.750

8.
Entry from OQMD: a geometry-optimized AlCo structure (PBE).

Properties
* VASP energy: -4.492 eV/atom

Lattice parameters (Å, degrees): 3.748 3.748 3.748 60.00 60.00 60.00
Positions (direct):
Al  0.000  0.000  0.000
Co  0.250  0.250  0.250